(1)
# RbH2Pb

An optimized crystal structure of RbH2Pb (PBEsol, the Alexandria database).

## Properties
VASP energy   -2.976 eV per atom
Total magnetic moment   0.0 μB/f.u.

Unit cell a=4.852 b=5.571 c=7.419 alpha=111.31 beta=90.00 gamma=90.00
Fractional coordinates of all 8 atoms:
Pb: 0.000 0.058 0.831
Pb: 0.500 0.920 0.545
H: 0.500 0.387 0.237
H: 0.500 0.263 0.143
H: 0.500 0.587 0.563
H: 0.000 0.399 0.829
Rb: 0.500 0.644 0.965
Rb: 0.000 0.341 0.415

---

(2)
# LiTePb2

An optimized crystal structure of LiTePb2 (PBEsol, the Alexandria database).

## Properties
Density of states at the Fermi level   0.485 states/eV/atom
VASP energy   -3.561 eV per atom
Total magnetic moment   0.0 μB/f.u.

Unit cell a=4.096 b=5.153 c=5.153 alpha=90.00 beta=90.00 gamma=90.00
Fractional coordinates of all 4 atoms:
Li: 0.500 0.000 0.000
Pb: 0.000 0.000 0.500
Pb: 0.000 0.500 0.000
Te: 0.500 0.500 0.500

---

(3)
# NaY2ScSn

An optimized crystal structure of NaY2ScSn (PBEsol, the Alexandria database).

## Properties
Density of states at the Fermi level   1.388 states/eV/atom
DFT formation energy   273 meV/atom
Total magnetic moment   2.6 μB/f.u.

Unit cell a=5.437 b=5.763 c=5.763 alpha=90.00 beta=90.00 gamma=90.00
Each line ends with the local moment (μB).
Fractional coordinates of all 5 atoms:
Y: 0.000 0.000 0.500  0.34
Y: 0.000 0.500 0.000  0.34
Sc: 0.500 0.000 0.000  0.48
Sn: 0.000 0.000 0.000  0.02
Na: 0.500 0.500 0.500  0.01

---

(4)
# K4BeAs2

An optimized crystal structure of K4BeAs2 (PBEsol, the Alexandria database).

## Properties
DFT formation energy   -385 meV/atom
Total magnetic moment   0.0 μB/f.u.

Unit cell a=5.623 b=5.623 c=9.176 alpha=72.16 beta=72.16 gamma=60.00
Fractional coordinates of all 7 atoms:
Be: 0.000 0.000 0.000
As: 0.919 0.919 0.242
As: 0.081 0.081 0.758
K: 0.791 0.791 0.626
K: 0.209 0.209 0.374
K: 0.624 0.624 0.128
K: 0.376 0.376 0.872

---

(5)
# Li2SbTe

An optimized crystal structure of Li2SbTe (PBEsol, the Alexandria database).

## Properties
Density of states at the Fermi level   0.349 states/eV/atom
VASP energy   -3.510 eV per atom
Total magnetic moment   0.0 μB/f.u.

Unit cell a=3.242 b=3.242 c=8.313 alpha=90.00 beta=90.00 gamma=90.87
Fractional coordinates of all 4 atoms:
Sb: 0.500 0.500 0.500
Te: 0.500 0.500 0.000
Li: 0.000 0.000 0.249
Li: 0.000 0.000 0.751

---

(6)
# FeHSN2

An optimized crystal structure of FeHSN2 (PBEsol, the Alexandria database).

## Properties
Density of states at the Fermi level   0.995 states/eV/atom
VASP energy   -5.025 eV per atom
Total magnetic moment   3.1 μB/f.u.

Unit cell a=3.109 b=3.109 c=4.829 alpha=90.00 beta=90.00 gamma=90.00
Each line ends with the local moment (μB).
Fractional coordinates of all 5 atoms:
H: 0.000 0.000 0.000  0.00
S: 0.000 0.000 0.500  0.04
Fe: 0.500 0.500 0.500  2.59
N: 0.000 0.500 0.000  0.17
N: 0.500 0.000 0.000  0.17

---

> Number 2 is which compound?

LiTePb2